(1)
This record from the Alexandria database describes an optimized crystal structure of GdAgHg. The functional is PBE-GGA.

Properties
Space-group type   F-43m, No. 216
Distance to the lowest polymorph of the same formula   0.1757 eV per atom
Density   9.66 Mg/m³
Calculated formation energy   -0.1974 eV/atom
Spin magnetization   7.56 μB per cell

Cell: 4.837 4.837 4.837 Å, 60.00 60.00 60.00°
Sites, in units of the cell vectors:
Gd: 0.000 0.000 0.000
Ag: 0.750 0.750 0.750
Hg: 0.500 0.500 0.500

=====

(2)
This record from the Alexandria database describes an optimized crystal structure of GdAg4Hg. The functional is PBE-GGA.

Properties
Space-group type   F-43m, No. 216
Density   10.54 Mg/m³
Calculated formation energy   -0.1794 eV/atom
Spin magnetization   7.36 μB per cell

Cell: 5.603 5.603 5.603 Å, 60.00 60.00 60.00°
Sites, in units of the cell vectors:
Gd: 0.000 0.000 0.000
Ag: 0.375 0.375 0.375
Ag: 0.375 0.375 0.875
Ag: 0.375 0.875 0.375
Ag: 0.875 0.375 0.375
Hg: 0.750 0.750 0.750

=====

(3)
This record from the Alexandria database describes an optimized crystal structure of Gd2AgHg. The functional is PBE-GGA.

Properties
Space-group type   P4/mmm, No. 123
Density   10.12 Mg/m³
Calculated formation energy   -0.4019 eV/atom
Spin magnetization   14.68 μB per cell

Cell: 5.241 5.241 3.721 Å, 90.00 90.00 90.00°
Sites, in units of the cell vectors:
Gd: 0.000 0.500 0.000
Gd: 0.500 0.000 0.000
Ag: 0.000 0.000 0.500
Hg: 0.500 0.500 0.500

=====

(4)
This record from the Alexandria database describes an optimized crystal structure of GdAgHg. The functional is PBE-GGA.

Properties
Space-group type   I4mm, No. 107
Distance to the lowest polymorph of the same formula   0.0376 eV per atom
Density   10.93 Mg/m³
Calculated formation energy   -0.3354 eV/atom
Spin magnetization   7.06 μB per cell

Cell: 5.511 5.511 5.511 Å, 139.21 139.21 59.06°
Sites, in units of the cell vectors:
Gd: 0.000 0.000 0.000
Ag: 0.671 0.671 0.000
Hg: 0.328 0.328 0.000

=====

(5)
This record from the Alexandria database describes an optimized crystal structure of GdHoAgHg. The functional is PBE-GGA.

Properties
Space-group type   F-43m, No. 216
Density   10.44 Mg/m³
Calculated formation energy   -0.4022 eV/atom
Spin magnetization   7.22 μB per cell

Cell: 5.215 5.215 5.215 Å, 60.00 60.00 60.00°
Sites, in units of the cell vectors:
Gd: 0.000 0.000 0.000
Ho: 0.500 0.500 0.500
Ag: 0.750 0.750 0.750
Hg: 0.250 0.250 0.250

=====

(6)
This record from the Alexandria database describes an optimized crystal structure of GdInAgHg. The functional is PBE-GGA.

Properties
Space-group type   F-43m, No. 216
Density   10.41 Mg/m³
Calculated formation energy   -0.3620 eV/atom
Spin magnetization   7.00 μB per cell

Cell: 5.079 5.079 5.079 Å, 60.00 60.00 60.00°
Sites, in units of the cell vectors:
Gd: 0.000 0.000 0.000
In: 0.500 0.500 0.500
Ag: 0.250 0.250 0.250
Hg: 0.750 0.750 0.750

=====

(7)
This record from the Alexandria database describes an optimized crystal structure of LiGdAgHg. The functional is PBE-GGA.

Properties
Space-group type   F-43m, No. 216
Density   8.81 Mg/m³
Calculated formation energy   -0.3112 eV/atom
Spin magnetization   7.54 μB per cell

Cell: 5.013 5.013 5.013 Å, 60.00 60.00 60.00°
Sites, in units of the cell vectors:
Li: 0.000 0.000 0.000
Gd: 0.500 0.500 0.500
Ag: 0.750 0.750 0.750
Hg: 0.250 0.250 0.250

=====

(8)
This record from the Alexandria database describes an optimized crystal structure of GdLuAgHg. The functional is PBE-GGA.

Properties
Space-group type   F-43m, No. 216
Density   10.80 Mg/m³
Calculated formation energy   -0.3960 eV/atom
Spin magnetization   7.24 μB per cell

Cell: 5.183 5.183 5.183 Å, 60.00 60.00 60.00°
Sites, in units of the cell vectors:
Gd: 0.000 0.000 0.000
Lu: 0.500 0.500 0.500
Ag: 0.750 0.750 0.750
Hg: 0.250 0.250 0.250

=====

(9)
This record from the Alexandria database describes an optimized crystal structure of NaGdAgHg. The functional is PBE-GGA.

Properties
Space-group type   F-43m, No. 216
Density   8.34 Mg/m³
Calculated formation energy   -0.2169 eV/atom
Spin magnetization   7.37 μB per cell

Cell: 5.163 5.163 5.163 Å, 60.00 60.00 60.00°
Sites, in units of the cell vectors:
Na: 0.000 0.000 0.000
Gd: 0.500 0.500 0.500
Ag: 0.250 0.250 0.250
Hg: 0.750 0.750 0.750

=====

(10)
This record from the Alexandria database describes an optimized crystal structure of NdGdAgHg. The functional is PBE-GGA.

Properties
Space-group type   F-43m, No. 216
Density   9.57 Mg/m³
Calculated formation energy   -0.3826 eV/atom
Spin magnetization   7.50 μB per cell

Cell: 5.309 5.309 5.309 Å, 60.00 60.00 60.00°
Sites, in units of the cell vectors:
Nd: 0.000 0.000 0.000
Gd: 0.500 0.500 0.500
Ag: 0.250 0.250 0.250
Hg: 0.750 0.750 0.750

=====

(11)
This record from the Alexandria database describes an optimized crystal structure of GdNiAgHg. The functional is PBE-GGA.

Properties
Space-group type   F-43m, No. 216
Density   10.94 Mg/m³
Calculated formation energy   -0.1635 eV/atom
Spin magnetization   7.19 μB per cell

Cell: 4.828 4.828 4.828 Å, 60.00 60.00 60.00°
Sites, in units of the cell vectors:
Gd: 0.000 0.000 0.000
Ni: 0.250 0.250 0.250
Ag: 0.750 0.750 0.750
Hg: 0.500 0.500 0.500

=====

(12)
This record from the Alexandria database describes an optimized crystal structure of GdAgHgPb. The functional is PBE-GGA.

Properties
Space-group type   F-43m, No. 216
Density   11.23 Mg/m³
Calculated formation energy   -0.2735 eV/atom
Spin magnetization   7.05 μB per cell

Cell: 5.201 5.201 5.201 Å, 60.00 60.00 60.00°
Sites, in units of the cell vectors:
Gd: 0.000 0.000 0.000
Ag: 0.750 0.750 0.750
Hg: 0.250 0.250 0.250
Pb: 0.500 0.500 0.500

=====

(13)
This record from the Alexandria database describes an optimized crystal structure of GdAgHgPt. The functional is PBE-GGA.

Properties
Space-group type   F-43m, No. 216
Density   13.11 Mg/m³
Calculated formation energy   -0.4958 eV/atom
Spin magnetization   7.10 μB per cell

Cell: 4.910 4.910 4.910 Å, 60.00 60.00 60.00°
Sites, in units of the cell vectors:
Gd: 0.000 0.000 0.000
Ag: 0.750 0.750 0.750
Hg: 0.500 0.500 0.500
Pt: 0.250 0.250 0.250

=====

(14)
This record from the Alexandria database describes an optimized crystal structure of GdAgHgSb. The functional is PBE-GGA.

Properties
Space-group type   F-43m, No. 216
Electronic total energy   -5.705 eV/atom
Density   9.96 Mg/m³
Spin magnetization   6.93 μB per cell

Cell: 5.175 5.175 5.175 Å, 60.00 60.00 60.00°
Sites, in units of the cell vectors:
Gd: 0.000 0.000 0.000
Ag: 0.500 0.500 0.500
Hg: 0.750 0.750 0.750
Sb: 0.250 0.250 0.250

=====

(15)
This record from the Alexandria database describes an optimized crystal structure of GdScAgHg. The functional is PBE-GGA.

Properties
Space-group type   F-43m, No. 216
Density   9.02 Mg/m³
Calculated formation energy   -0.3478 eV/atom
Spin magnetization   7.27 μB per cell

Cell: 5.103 5.103 5.103 Å, 60.00 60.00 60.00°
Sites, in units of the cell vectors:
Gd: 0.000 0.000 0.000
Sc: 0.500 0.500 0.500
Ag: 0.250 0.250 0.250
Hg: 0.750 0.750 0.750

=====

(16)
This record from the Alexandria database describes an optimized crystal structure of GdAgSnHg. The functional is PBE-GGA.

Properties
Space-group type   F-43m, No. 216
Density   10.18 Mg/m³
Calculated formation energy   -0.3602 eV/atom
Spin magnetization   6.99 μB per cell

Cell: 5.127 5.127 5.127 Å, 60.00 60.00 60.00°
Sites, in units of the cell vectors:
Gd: 0.000 0.000 0.000
Ag: 0.500 0.500 0.500
Sn: 0.250 0.250 0.250
Hg: 0.750 0.750 0.750

=====

(17)
This record from the Alexandria database describes an optimized crystal structure of GdTiAgHg. The functional is PBE-GGA.

Properties
Space-group type   F-43m, No. 216
Density   9.61 Mg/m³
Calculated formation energy   -0.0890 eV/atom
Spin magnetization   8.99 μB per cell

Cell: 5.007 5.007 5.007 Å, 60.00 60.00 60.00°
Sites, in units of the cell vectors:
Gd: 0.000 0.000 0.000
Ti: 0.500 0.500 0.500
Ag: 0.250 0.250 0.250
Hg: 0.750 0.750 0.750

=====

(18)
This record from the Alexandria database describes an optimized crystal structure of GdTlAgHg. The functional is PBE-GGA.

Properties
Space-group type   F-43m, No. 216
Density   11.74 Mg/m³
Calculated formation energy   -0.2529 eV/atom
Spin magnetization   7.05 μB per cell

Cell: 5.118 5.118 5.118 Å, 60.00 60.00 60.00°
Sites, in units of the cell vectors:
Gd: 0.000 0.000 0.000
Tl: 0.250 0.250 0.250
Ag: 0.500 0.500 0.500
Hg: 0.750 0.750 0.750

=====

(19)
This record from the Alexandria database describes an optimized crystal structure of GdTmAgHg. The functional is PBE-GGA.

Properties
Space-group type   F-43m, No. 216
Density   10.60 Mg/m³
Calculated formation energy   -0.3988 eV/atom
Spin magnetization   7.20 μB per cell

Cell: 5.200 5.200 5.200 Å, 60.00 60.00 60.00°
Sites, in units of the cell vectors:
Gd: 0.000 0.000 0.000
Tm: 0.500 0.500 0.500
Ag: 0.750 0.750 0.750
Hg: 0.250 0.250 0.250

=====

(20)
This record from the Alexandria database describes an optimized crystal structure of GdYAgHg. The functional is PBE-GGA.

Properties
Space-group type   F-43m, No. 216
Density   9.09 Mg/m³
Calculated formation energy   -0.4097 eV/atom
Spin magnetization   7.25 μB per cell

Cell: 5.233 5.233 5.233 Å, 60.00 60.00 60.00°
Sites, in units of the cell vectors:
Gd: 0.000 0.000 0.000
Y: 0.500 0.500 0.500
Ag: 0.250 0.250 0.250
Hg: 0.750 0.750 0.750

=====

(21)
This record from the Alexandria database describes an optimized crystal structure of GdZnAgHg. The functional is PBE-GGA.

Properties
Space-group type   F-43m, No. 216
Density   10.40 Mg/m³
Calculated formation energy   -0.2856 eV/atom
Spin magnetization   7.22 μB per cell

Cell: 4.932 4.932 4.932 Å, 60.00 60.00 60.00°
Sites, in units of the cell vectors:
Gd: 0.000 0.000 0.000
Zn: 0.750 0.750 0.750
Ag: 0.500 0.500 0.500
Hg: 0.250 0.250 0.250

=====

(22)
This record from the Alexandria database describes an optimized crystal structure of GdHo2Ag. The functional is PBE-GGA.

Properties
Space-group type   P4/mmm, No. 123
Distance to the lowest polymorph of the same formula   0.0000 eV per atom
Density   8.83 Mg/m³
Calculated formation energy   -0.1249 eV/atom
Spin magnetization   7.66 μB per cell

Cell: 3.555 3.555 8.852 Å, 90.00 90.00 90.00°
Sites, in units of the cell vectors:
Gd: 0.000 0.000 0.000
Ho: 0.500 0.500 0.288
Ho: 0.500 0.500 0.712
Ag: 0.000 0.000 0.500

=====

(23)
This record from the Alexandria database describes an optimized crystal structure of GdHo2Ag. The functional is PBE-GGA.

Properties
Space-group type   Fm-3m, No. 225
Distance to the lowest polymorph of the same formula   0.1958 eV per atom
Density   9.14 Mg/m³
Calculated formation energy   0.0708 eV/atom
Spin magnetization   8.04 μB per cell

Cell: 5.348 5.348 5.348 Å, 60.00 60.00 60.00°
Sites, in units of the cell vectors:
Gd: 0.000 0.000 0.000
Ho: 0.250 0.250 0.250
Ho: 0.750 0.750 0.750
Ag: 0.500 0.500 0.500

=====

(24)
This record from the Alexandria database describes an optimized crystal structure of GdHo2Ag. The functional is PBE-GGA.

Properties
Space-group type   R-3m, No. 166
Distance to the lowest polymorph of the same formula   0.1134 eV per atom
Density   8.70 Mg/m³
Calculated formation energy   -0.0115 eV/atom
Spin magnetization   7.29 μB per cell

Cell: 10.688 10.688 10.688 Å, 19.04 19.04 19.04°
Sites, in units of the cell vectors:
Gd: 0.000 0.000 0.000
Ho: 0.241 0.241 0.241
Ho: 0.759 0.759 0.759
Ag: 0.500 0.500 0.500

=====

(25)
This record from the Alexandria database describes an optimized crystal structure of GdHo2Ag. The functional is PBE-GGA.

Properties
Space-group type   P4/mmm, No. 123
Distance to the lowest polymorph of the same formula   0.1366 eV per atom
Density   9.12 Mg/m³
Calculated formation energy   0.0117 eV/atom
Spin magnetization   7.35 μB per cell

Cell: 5.406 5.406 3.706 Å, 90.00 90.00 90.00°
Sites, in units of the cell vectors:
Gd: 0.000 0.000 0.000
Ho: 0.000 0.500 0.500
Ho: 0.500 0.000 0.500
Ag: 0.500 0.500 0.000

=====

(26)
This record from the Alexandria database describes an optimized crystal structure of GdHoAgIr. The functional is PBE-GGA.

Properties
Space-group type   F-43m, No. 216
Density   11.79 Mg/m³
Calculated formation energy   -0.5771 eV/atom
Spin magnetization   7.15 μB per cell

Cell: 4.986 4.986 4.986 Å, 60.00 60.00 60.00°
Sites, in units of the cell vectors:
Gd: 0.000 0.000 0.000
Ho: 0.500 0.500 0.500
Ag: 0.750 0.750 0.750
Ir: 0.250 0.250 0.250

=====

(27)
This record from the Alexandria database describes an optimized crystal structure of LiGdHoAg. The functional is PBE-GGA.

Properties
Space-group type   F-43m, No. 216
Density   7.41 Mg/m³
Calculated formation energy   -0.0932 eV/atom
Spin magnetization   7.36 μB per cell

Cell: 5.175 5.175 5.175 Å, 60.00 60.00 60.00°
Sites, in units of the cell vectors:
Li: 0.000 0.000 0.000
Gd: 0.750 0.750 0.750
Ho: 0.250 0.250 0.250
Ag: 0.500 0.500 0.500

=====

(28)
This record from the Alexandria database describes an optimized crystal structure of GdHoMgAg. The functional is PBE-GGA.

Properties
Space-group type   F-43m, No. 216
Density   7.34 Mg/m³
Calculated formation energy   -0.1480 eV/atom
Spin magnetization   7.51 μB per cell

Cell: 5.258 5.258 5.258 Å, 60.00 60.00 60.00°
Sites, in units of the cell vectors:
Gd: 0.000 0.000 0.000
Ho: 0.500 0.500 0.500
Mg: 0.750 0.750 0.750
Ag: 0.250 0.250 0.250

=====

(29)
This record from the Alexandria database describes an optimized crystal structure of GdHoMnAg. The functional is PBE-GGA.

Properties
Space-group type   F-43m, No. 216
Density   8.60 Mg/m³
Calculated formation energy   -0.0087 eV/atom
Spin magnetization   3.85 μB per cell

Cell: 5.097 5.097 5.097 Å, 60.00 60.00 60.00°
Sites, in units of the cell vectors:
Gd: 0.000 0.000 0.000
Ho: 0.500 0.500 0.500
Mn: 0.750 0.750 0.750
Ag: 0.250 0.250 0.250

=====

(30)
This record from the Alexandria database describes an optimized crystal structure of GdHoAgPb. The functional is PBE-GGA.

Properties
Space-group type   F-43m, No. 216
Density   10.09 Mg/m³
Calculated formation energy   -0.4111 eV/atom
Spin magnetization   7.94 μB per cell

Cell: 5.294 5.294 5.294 Å, 60.00 60.00 60.00°
Sites, in units of the cell vectors:
Gd: 0.000 0.000 0.000
Ho: 0.500 0.500 0.500
Ag: 0.750 0.750 0.750
Pb: 0.250 0.250 0.250

=====

(31)
This record from the Alexandria database describes an optimized crystal structure of PrGdHoAg. The functional is PBE-GGA.

Properties
Space-group type   F-43m, No. 216
Density   8.23 Mg/m³
Calculated formation energy   0.0586 eV/atom
Spin magnetization   7.56 μB per cell

Cell: 5.461 5.461 5.461 Å, 60.00 60.00 60.00°
Sites, in units of the cell vectors:
Pr: 0.000 0.000 0.000
Gd: 0.500 0.500 0.500
Ho: 0.250 0.250 0.250
Ag: 0.750 0.750 0.750